# 1
# DyHoHg | the Alexandria database | GGA-PBE | optimized geometry
data_DyHoHg
_symmetry_space_group_name_H-M 'I 4 m m'
_symmetry_Int_Tables_number 107
_symmetry_space_group_name_Hall 'I 4 -2'
_cell_length_a 3.598
_cell_length_b 3.598
_cell_length_c 12.871
_cell_angle_alpha 90.00
_cell_angle_beta 90.00
_cell_angle_gamma 90.00
loop_
_atom_site_label
_atom_site_type_symbol
_atom_site_fract_x
_atom_site_fract_y
_atom_site_fract_z
Dy1 Dy 0.000 0.000 0.000
Ho1 Ho 0.000 0.000 0.692
Hg1 Hg 0.000 0.000 0.344
# density of states at the Fermi level = 6.57 states/eV/cell
# calculated formation energy = -302 meV/atom
# energy relative to the lowest polymorph listed for this composition = 5.88 kJ per mole of atoms
# total magnetization = 0.3503 μB/atom
# DFT total energy = -3.46 eV per atom

---

# 2
# MnTcCl2 | the Alexandria database | GGA-PBE | optimized geometry
data_MnTcCl2
_symmetry_space_group_name_H-M 'R -3 m'
_symmetry_Int_Tables_number 166
_symmetry_space_group_name_Hall '-R 3 2"'
_cell_length_a 3.1395
_cell_length_b 3.1395
_cell_length_c 23.8003
_cell_angle_alpha 90.00
_cell_angle_beta 90.00
_cell_angle_gamma 120.00
loop_
_atom_site_label
_atom_site_type_symbol
_atom_site_fract_x
_atom_site_fract_y
_atom_site_fract_z
Mn1 Mn 0.0000 0.0000 0.0000
Tc1 Tc 0.0000 0.0000 0.5000
Cl1 Cl 0.0000 0.0000 0.2589
# density of states at the Fermi level = 6.21 states/eV/cell
# energy relative to the lowest polymorph listed for this composition = 51.84 kJ per mole of atoms
# total magnetization = 0.2493 μB/atom
# DFT total energy = -5.47 eV per atom
# raw formation energy = 0.34 eV per atom

---

# 3
# Ta2CdCl | the Alexandria database | GGA-PBE | optimized geometry
data_Ta2CdCl
_symmetry_space_group_name_H-M 'F m -3 m'
_symmetry_Int_Tables_number 225
_symmetry_space_group_name_Hall '-F 4 2 3'
_cell_length_a 6.608
_cell_length_b 6.608
_cell_length_c 6.608
_cell_angle_alpha 90.00
_cell_angle_beta 90.00
_cell_angle_gamma 90.00
loop_
_atom_site_label
_atom_site_type_symbol
_atom_site_fract_x
_atom_site_fract_y
_atom_site_fract_z
Ta1 Ta 0.250 0.250 0.250
Cd1 Cd 0.000 0.000 0.000
Cl1 Cl 0.000 0.000 0.500
# density of states at the Fermi level = 25.45 states/eV/cell
# energy relative to the lowest polymorph listed for this composition = 81.55 kJ per mole of atoms
# total magnetization = 0.0000 μB/atom
# DFT total energy = -5.84 eV per atom
# raw formation energy = 0.78 eV per atom

---

# 4
# Sr3YTm3S8 | the Alexandria database | GGA-PBE | optimized geometry
data_Sr3YTm3S8
_symmetry_space_group_name_H-M 'R -3 m'
_symmetry_Int_Tables_number 166
_symmetry_space_group_name_Hall '-R 3 2"'
_cell_length_a 7.9223
_cell_length_b 7.9223
_cell_length_c 20.4936
_cell_angle_alpha 90.00
_cell_angle_beta 90.00
_cell_angle_gamma 120.00
loop_
_atom_site_label
_atom_site_type_symbol
_atom_site_fract_x
_atom_site_fract_y
_atom_site_fract_z
Sr1 Sr 0.0000 0.5000 0.0000
Y1 Y 0.0000 0.0000 0.5000
Tm1 Tm 0.0000 0.5000 0.5000
S1 S 0.0000 0.0000 0.2415
S2 S 0.0036 0.5018 0.7593
# density of states at the Fermi level = 9.61 states/eV/cell
# total magnetization = 0.0000 μB/atom
# DFT total energy = -5.94 eV per atom
# raw formation energy = -2.08 eV per atom

---

# 5
# Pm5Pr2YMg | the Alexandria database | GGA-PBE | optimized geometry
data_Pm5Pr2YMg
_symmetry_space_group_name_H-M 'C m c m'
_symmetry_Int_Tables_number 63
_symmetry_space_group_name_Hall '-C 2c 2'
_cell_length_a 5.577
_cell_length_b 20.202
_cell_length_c 10.870
_cell_angle_alpha 90.00
_cell_angle_beta 90.00
_cell_angle_gamma 90.00
loop_
_atom_site_label
_atom_site_type_symbol
_atom_site_fract_x
_atom_site_fract_y
_atom_site_fract_z
Pm1 Pm 0.000 0.000 0.000
Pm2 Pm 0.000 0.119 0.250
Pm3 Pm 0.000 0.211 0.551
Pm4 Pm 0.000 0.485 0.250
Pr1 Pr 0.000 0.385 0.541
Y1 Y 0.000 0.298 0.250
Mg1 Mg 0.000 0.095 0.750
# density of states at the Fermi level = 52.02 states/eV/cell
# calculated formation energy = 83 meV/atom
# total magnetization = 0.0000 μB/atom
# DFT total energy = -4.51 eV per atom